Record 1
Computed, not measured: MnV2N after structural relaxation at the GGA-PBE level of DFT.

a = 5.7796 Å, b = 5.7796 Å, c = 4.9941 Å
α = 54.64°, β = 54.64°, γ = 90.00°
With the nearest neighbours (Å) after each atom.
Fractional positions:
V 0.5560 0.1250 0.2500  2 N 1.92
V 0.1940 0.6250 0.2500  2 N 1.92
V 0.3750 0.4440 0.7500  2 N 1.92
V 0.8750 0.8060 0.7500  2 N 1.92
Mn 0.0000 0.0000 0.0000  4 V 2.45
Mn 0.7500 0.2500 0.5000  4 V 2.45
N 0.5000 0.5000 0.0000  4 V 1.92
N 0.2500 0.7500 0.5000  4 V 1.92

Summary:
- Calculated total energy: -8.941 eV/atom
- Energy relative to the elements, uncorrected: -0.01 eV/atom
- Size of the total moment: 0.82 μB/f.u.

=====

Record 2
Computed, not measured: Nd3Th5S12 after structural relaxation at the GGA-PBE level of DFT.

a = 14.3364 Å, b = 14.3364 Å, c = 14.3364 Å
α = 109.47°, β = 109.47°, γ = 109.47°
With the nearest neighbours (Å) after each atom.
Fractional positions:
Nd 0.7500 0.3750 0.1250  8 S 3.00-3.15
Nd 0.8750 0.7500 0.1250  8 S 3.00-3.15
Nd 0.3750 0.7500 0.6250  8 S 3.00-3.15
Nd 0.2500 0.1250 0.3750  8 S 3.00-3.15
Nd 0.8750 0.1250 0.2500  8 S 3.00-3.15
Nd 0.3750 0.6250 0.2500  8 S 3.00-3.15
Nd 0.6250 0.3750 0.7500  8 S 3.00-3.15
Nd 0.1250 0.8750 0.7500  8 S 3.00-3.15
Nd 0.7500 0.8750 0.6250  8 S 3.00-3.15
Nd 0.6250 0.2500 0.3750  8 S 3.00-3.15
Nd 0.1250 0.2500 0.8750  8 S 3.00-3.15
Nd 0.2500 0.6250 0.8750  8 S 3.00-3.15
Th 0.1250 0.3750 0.2500  4 S 2.65
Th 0.0000 0.5000 0.0000  6 S 2.81
Th 0.0000 0.0000 0.0000  6 S 2.81
Th 0.3750 0.2500 0.1250  4 S 2.65
Th 0.5000 0.0000 0.5000  6 S 2.81
Th 0.5000 0.5000 0.0000  6 S 2.81
Th 0.1250 0.7500 0.3750  4 S 2.65
Th 0.7500 0.1250 0.8750  4 S 2.65
Th 0.7500 0.6250 0.3750  4 S 2.65
Th 0.3750 0.1250 0.7500  4 S 2.65
Th 0.6250 0.8750 0.2500  4 S 2.65
Th 0.5000 0.5000 0.5000  6 S 2.81
Th 0.5000 0.0000 0.0000  6 S 2.81
Th 0.0000 0.0000 0.5000  6 S 2.81
Th 0.2500 0.3750 0.6250  4 S 2.65
Th 0.2500 0.8750 0.1250  4 S 2.65
Th 0.0000 0.5000 0.5000  6 S 2.81
Th 0.8750 0.2500 0.6250  4 S 2.65
Th 0.6250 0.7500 0.8750  4 S 2.65
Th 0.8750 0.6250 0.7500  4 S 2.65
S 0.7246 0.1312 0.0513  2 Th 2.65-2.81
S 0.3266 0.5513 0.4200  2 Th 2.65-2.81
S 0.9487 0.3688 0.2754  2 Th 2.65-2.81
S 0.5513 0.2246 0.1312  2 Th 2.65-2.81
S 0.5934 0.7246 0.6734  2 Th 2.65-2.81
S 0.9487 0.5800 0.1734  2 Th 2.65-2.81
S 0.3266 0.7754 0.4066  2 Th 2.65-2.81
S 0.0800 0.9066 0.1312  2 Th 2.65-2.81
S 0.5800 0.9487 0.6734  2 Th 2.65-2.81
S 0.7246 0.5934 0.1734  2 Th 2.65-2.81
S 0.7754 0.4487 0.3688  2 Th 2.65-2.81
S 0.8266 0.9200 0.0513  2 Th 2.65-2.81
S 0.1312 0.7246 0.5513  2 Th 2.65-2.81
S 0.3688 0.4200 0.0934  2 Th 2.65-2.81
S 0.0934 0.9200 0.3688  2 Th 2.65-2.81
S 0.4066 0.1312 0.5800  2 Th 2.65-2.81
S 0.0934 0.1734 0.2246  2 Th 2.65-2.81
S 0.4487 0.6734 0.0800  2 Th 2.65-2.81
S 0.8266 0.9066 0.2754  2 Th 2.65-2.81
S 0.1312 0.4066 0.0800  2 Th 2.65-2.81
S 0.3688 0.9487 0.7754  2 Th 2.65-2.81
S 0.5800 0.6312 0.4066  2 Th 2.65-2.81
S 0.9200 0.8266 0.5513  2 Th 2.65-2.81
S 0.7754 0.3266 0.9066  2 Th 2.65-2.81
S 0.4200 0.3688 0.5934  2 Th 2.65-2.81
S 0.0800 0.1734 0.4487  2 Th 2.65-2.81
S 0.2246 0.6734 0.0934  2 Th 2.65-2.81
S 0.1734 0.0934 0.7246  2 Th 2.65-2.81
S 0.6312 0.0513 0.2246  2 Th 2.65-2.81
S 0.8688 0.5934 0.9200  2 Th 2.65-2.81
S 0.5513 0.3266 0.9200  2 Th 2.65-2.81
S 0.5934 0.8688 0.4200  2 Th 2.65-2.81
S 0.9066 0.8266 0.7754  2 Th 2.65-2.81
S 0.9066 0.0800 0.6312  2 Th 2.65-2.81
S 0.8688 0.2754 0.4487  2 Th 2.65-2.81
S 0.1734 0.0800 0.9487  2 Th 2.65-2.81
S 0.6312 0.5800 0.9066  2 Th 2.65-2.81
S 0.4200 0.0513 0.3266  2 Th 2.65-2.81
S 0.2754 0.4066 0.8266  2 Th 2.65-2.81
S 0.2246 0.5513 0.6312  2 Th 2.65-2.81
S 0.9200 0.0934 0.8688  2 Th 2.65-2.81
S 0.6734 0.2246 0.5934  2 Th 2.65-2.81
S 0.4487 0.7754 0.8688  2 Th 2.65-2.81
S 0.0513 0.4200 0.8266  2 Th 2.65-2.81
S 0.4066 0.2754 0.3266  2 Th 2.65-2.81
S 0.0513 0.6312 0.7246  2 Th 2.65-2.81
S 0.6734 0.4487 0.5800  2 Th 2.65-2.81
S 0.2754 0.8688 0.9487  2 Th 2.65-2.81

Summary:
- Calculated total energy: -6.663 eV/atom
- Energy relative to the elements, uncorrected: -1.62 eV/atom
- Size of the total moment: 0.01 μB/f.u.

=====

Record 3
Computed, not measured: TlOsPbO5 after structural relaxation at the GGA-PBE level of DFT.

a = 6.7628 Å, b = 6.7628 Å, c = 7.6096 Å
α = 99.90°, β = 99.90°, γ = 118.67°
With the nearest neighbours (Å) after each atom.
Fractional positions:
Tl 0.0000 0.0000 0.5000  2 O 2.19
Tl 0.0000 0.0000 0.0000  2 O 2.19
Os 0.6816 0.3184 0.2500  4 O 1.78-1.85
Os 0.3184 0.6816 0.7500  4 O 1.78-1.85
Pb 0.2865 0.7135 0.2500  1 O 2.24
Pb 0.7135 0.2865 0.7500  1 O 2.24
O 0.0940 0.9060 0.2500  2 Tl 2.19, 1 Pb 2.24
O 0.9060 0.0940 0.7500  2 Tl 2.19, 1 Pb 2.24
O 0.8793 0.3057 0.1140  1 Os 1.85
O 0.1207 0.6943 0.8860  1 Os 1.85
O 0.6943 0.1207 0.3860  1 Os 1.85
O 0.3057 0.8793 0.6140  1 Os 1.85
O 0.7024 0.5293 0.4389  1 Os 1.78
O 0.2976 0.4707 0.5611  1 Os 1.78
O 0.4707 0.2976 0.0611  1 Os 1.78
O 0.5293 0.7024 0.9389  1 Os 1.78

Summary:
- Calculated total energy: -6.080 eV/atom
- Energy relative to the elements, uncorrected: -0.82 eV/atom
- Size of the total moment: 0.00 μB/f.u.

=====

Record 4
Computed, not measured: SrInGe2Pt5 after structural relaxation at the GGA-PBE level of DFT.

a = 4.1508 Å, b = 4.1508 Å, c = 11.1912 Å
α = 90.00°, β = 90.00°, γ = 90.00°
With the nearest neighbours (Å) after each atom.
Fractional positions:
Sr 0.0000 0.0000 0.5000  4 Pt 2.94
In 0.0000 0.0000 0.0000  8 Pt 2.77
Ge 0.5000 0.5000 0.2844  5 Pt 2.41-2.47
Ge 0.5000 0.5000 0.7156  5 Pt 2.41-2.47
Pt 0.0000 0.5000 0.1645  2 Ge 2.47
Pt 0.5000 0.0000 0.1645  2 Ge 2.47
Pt 0.0000 0.5000 0.8355  2 Ge 2.47
Pt 0.5000 0.0000 0.8355  2 Ge 2.47
Pt 0.5000 0.5000 0.5000  2 Ge 2.41

Summary:
- Calculated total energy: -5.422 eV/atom
- Size of the total moment: 0.00 μB/f.u.